Run a
2
Lattice="-3.147 2.033 -0.689 -0.285 -3.568 1.303 0.098 2.176 5.977" Properties=species:S:1:pos:R:3 comment="SrTb, optimized geometry, DFT PBE" magmom_total_mub_per_fu=0.49 space_group=P-6m2 density_kg_m3=5121 pbc="T T T"
Tb -1.239 -1.701 0.639
Sr -2.144 1.254 2.964

Run b
4
Lattice="3.864 0.000 0.000 0.000 3.853 0.296 0.000 -0.851 10.981" Properties=species:S:1:pos:R:3 comment="SrTb, optimized geometry, DFT PBE" magmom_total_mub_per_fu=0.00 space_group=P2_1/m density_kg_m3=4979 pbc="T T T"
Tb 2.898 2.120 10.138
Tb 0.966 0.882 1.139
Sr 0.966 0.406 7.218
Sr 2.898 2.596 4.059

So which one is most stable? That would be run b, about 12.3 kJ/mol of atoms below the next structure.

Run a
4
Lattice="-3.294 -1.322 -1.663 1.360 -3.522 0.107 -5.199 -1.654 11.614" Properties=species:S:1:pos:R:3 comment="Sr3Tb, optimized geometry, DFT PBE" magmom_total_mub_per_fu=0.66 space_group=Pmm2 density_kg_m3=3687 pbc="T T T"
Tb -5.031 -1.601 11.240
Sr -1.916 -2.724 1.343
Sr -1.731 -2.528 5.438
Sr -5.387 -1.851 7.523

Run b
8
Lattice="-7.490 -2.939 0.949 6.323 -3.907 3.224 -0.665 3.475 5.514" Properties=species:S:1:pos:R:3 comment="Sr3Tb, optimized geometry, DFT PBE" magmom_total_mub_per_fu=0.45 space_group=P6_3/mmc density_kg_m3=3762 pbc="T T T"
Sr 0.155 -4.295 4.671
Sr -5.614 -0.499 5.476
Sr -1.987 0.924 5.016
Sr -2.552 -2.391 7.037
Sr 0.720 -0.979 2.650
Sr 3.782 -2.872 4.211
Tb -3.052 -2.393 3.086
Tb 1.220 -0.978 6.601

Run c
4
Lattice="-0.971 2.986 3.022 -5.993 0.446 -2.366 1.548 -6.408 3.687" Properties=species:S:1:pos:R:3 comment="Sr3Tb, optimized geometry, DFT PBE" magmom_total_mub_per_fu=0.00 space_group=Imm2 density_kg_m3=3846 pbc="T T T"
Sr -2.989 1.679 0.523
Sr -3.505 -2.278 1.125
Sr -0.897 -0.774 3.618
Tb -5.501 0.409 -2.172

Run d
4
Lattice="6.361 0.000 0.000 3.181 5.509 0.000 3.181 1.836 5.194" Properties=species:S:1:pos:R:3 comment="Sr3Tb, optimized geometry, DFT PBE" magmom_total_mub_per_fu=0.00 space_group=Fm-3m density_kg_m3=3848 pbc="T T T"
Tb 6.361 3.673 2.597
Sr 3.181 1.836 1.298
Sr 9.542 5.509 3.895
Sr 0.000 0.000 0.000

So which one is most stable? That would be run c, about 1.3 kJ/mol of atoms below the next structure.